This record from Alexandria via LeMat-Bulk describes a relaxed TaTi12Bi6 crystal. The functional is PBE.

a = 8.047 Å, b = 8.047 Å, c = 8.047 Å
α = 110.27°, β = 110.27°, γ = 110.27°
Fractional coordinates of all 19 atoms:
Ta (0.000, 0.000, 0.000)
Ti (0.089, 0.157, 0.744)
Ti (0.157, 0.744, 0.089)
Ti (0.186, 0.299, 0.436)
Ti (0.256, 0.911, 0.843)
Ti (0.299, 0.436, 0.186)
Ti (0.436, 0.186, 0.299)
Ti (0.564, 0.814, 0.701)
Ti (0.701, 0.564, 0.814)
Ti (0.744, 0.089, 0.157)
Ti (0.814, 0.701, 0.564)
Ti (0.843, 0.256, 0.911)
Ti (0.911, 0.843, 0.256)
Bi (0.101, 0.606, 0.379)
Bi (0.379, 0.101, 0.606)
Bi (0.394, 0.621, 0.899)
Bi (0.606, 0.379, 0.101)
Bi (0.621, 0.899, 0.394)
Bi (0.899, 0.394, 0.621)

Properties
ρ = 8.6 Mg/m³
E = -129.89 eV per cell
ΔE_f = -1 kJ/mol of formula units
SG = R-3 (148)
Fermi-level density of states = 17.3 states/eV/f.u.
Total magnetization = 0.00 μB per cell
Crystal system = trigonal